5
Lattice="4.681 0.000 0.000 0.000 4.681 0.000 0.000 0.000 4.681" Properties=species:S:1:pos:R:3 comment="PBEsol TiBe3I, optimized geometry" volume_a3_per_cell=103 spacegroup="Pm-3m (221)" final_energy_ha_per_atom=-0.102 dos_at_fermi_per_ev_cell=4.61 pbc="T T T"
Ti 0.000 0.000 0.000
Be 0.000 0.000 2.341
Be 0.000 2.341 0.000
Be 2.341 0.000 0.000
I 2.341 2.341 2.341



4
Lattice="2.703 0.000 0.000 0.000 2.703 0.000 0.000 0.000 7.803" Properties=species:S:1:pos:R:3 comment="PBEsol MoIr2Os, optimized geometry" formation_enthalpy_0k_mev_per_atom=-109 volume_a3_per_cell=57 spacegroup="P4/mmm (123)" e_above_lowest_polymorph_mev_per_atom=142 dos_at_fermi_per_ev_cell=3.61 pbc="T T T"
Mo 0.000 0.000 0.000
Ir 1.351 1.351 1.986
Ir 1.351 1.351 5.817
Os 0.000 0.000 3.902



4
Lattice="4.945 0.000 0.000 0.000 4.945 0.000 0.000 0.000 4.945" Properties=species:S:1:pos:R:3 comment="PBEsol PrHo3, optimized geometry" formation_enthalpy_0k_mev_per_atom=18 volume_a3_per_cell=121 spacegroup="Pm-3m (221)" e_above_lowest_polymorph_mev_per_atom=0 dos_at_fermi_per_ev_cell=5.01 pbc="T T T"
Pr 0.000 0.000 0.000
Ho 0.000 2.473 2.473
Ho 2.473 0.000 2.473
Ho 2.473 2.473 0.000